[1]
NdNi2GeN: relaxed, PBE.

Output
raw formation energy: -0.706 eV per atom

Lattice parameters (Å, degrees): 5.9644 5.9644 7.0134 90.00 90.00 144.81
Atoms (fractional coordinates):
Nd: 0.0349 0.9651 0.7500
Nd: 0.9651 0.0349 0.2500
Ni: 0.3352 0.6648 0.5505
Ni: 0.3352 0.6648 0.9495
Ni: 0.6648 0.3352 0.0505
Ni: 0.6648 0.3352 0.4495
Ge: 0.2338 0.7662 0.2500
Ge: 0.7662 0.2338 0.7500
N: 0.5000 0.5000 0.0000
N: 0.5000 0.5000 0.5000

[2]
NdGeP2N6: relaxed, PBE.

Output
raw formation energy: -0.338 eV per atom

Lattice parameters (Å, degrees): 7.1493 7.1493 5.7196 107.09 107.09 90.19
Atoms (fractional coordinates):
Nd: 0.1224 0.8776 0.7500
Nd: 0.8776 0.1224 0.2500
Ge: 0.2341 0.7659 0.2500
Ge: 0.7659 0.2341 0.7500
P: 0.2234 0.3724 0.8317
P: 0.3724 0.2234 0.3317
P: 0.6276 0.7766 0.6683
P: 0.7766 0.6276 0.1683
N: 0.0169 0.2269 0.7060
N: 0.2026 0.6065 0.9290
N: 0.2269 0.0169 0.2060
N: 0.2935 0.3426 0.5729
N: 0.3426 0.2935 0.0729
N: 0.3935 0.7974 0.5710
N: 0.6065 0.2026 0.4290
N: 0.6574 0.7065 0.9271
N: 0.7065 0.6574 0.4271
N: 0.7731 0.9831 0.7940
N: 0.7974 0.3935 0.0710
N: 0.9831 0.7731 0.2940

[3]
NdPa2GeN5: relaxed, PBE.

Output
raw formation energy: -0.985 eV per atom

Lattice parameters (Å, degrees): 8.6643 8.6643 9.3564 90.00 90.00 158.02
Atoms (fractional coordinates):
Nd: 0.2234 0.7766 0.5000
Nd: 0.7766 0.2234 0.0000
Pa: 0.0924 0.9076 0.1766
Pa: 0.1066 0.8934 0.8058
Pa: 0.8934 0.1066 0.3058
Pa: 0.9076 0.0924 0.6766
Ge: 0.4459 0.5541 0.9577
Ge: 0.5541 0.4459 0.4577
N: 0.0356 0.9644 0.5543
N: 0.3229 0.6771 0.1920
N: 0.3506 0.6494 0.8497
N: 0.3703 0.6297 0.5116
N: 0.4946 0.5054 0.2857
N: 0.5054 0.4946 0.7857
N: 0.6297 0.3703 0.0116
N: 0.6494 0.3506 0.3497
N: 0.6771 0.3229 0.6920
N: 0.9644 0.0356 0.0543

[4]
PmNd2GeN4: relaxed, PBE.

Output
raw formation energy: -0.890 eV per atom

Lattice parameters (Å, degrees): 6.1273 6.1273 12.1100 90.00 90.00 145.63
Atoms (fractional coordinates):
Pm: 0.1028 0.8972 0.7500
Pm: 0.8972 0.1028 0.2500
Nd: 0.3693 0.6307 0.5447
Nd: 0.3693 0.6307 0.9553
Nd: 0.6307 0.3693 0.0447
Nd: 0.6307 0.3693 0.4553
Ge: 0.1651 0.8349 0.2500
Ge: 0.8349 0.1651 0.7500
N: 0.0000 0.0000 0.0000
N: 0.0000 0.0000 0.5000
N: 0.2748 0.7252 0.1337
N: 0.2748 0.7252 0.3663
N: 0.4217 0.5783 0.7500
N: 0.5783 0.4217 0.2500
N: 0.7252 0.2748 0.6337
N: 0.7252 0.2748 0.8663

Number 1: E_tot -6.56 eV per atom. Number 2: E_tot -7.35 eV per atom. Number 3: E_tot -8.76 eV per atom. Number 4: E_tot -7.42 eV per atom.